RbNaBeF4 | PBE-GGA | relaxed

abc: 5.407 5.773 7.319
angles: 90.00 108.72 90.00
Fractional coordinates of all 14 atoms:
F 0.589 0.250 0.463
F 0.411 0.750 0.537
F 0.602 0.250 0.814
F 0.956 0.033 0.710
F 0.956 0.467 0.710
F 0.398 0.750 0.186
F 0.044 0.533 0.290
F 0.044 0.967 0.290
Na 0.199 0.250 0.533
Na 0.801 0.750 0.467
Be 0.229 0.750 0.324
Be 0.771 0.250 0.676
Rb 0.696 0.750 0.924
Rb 0.304 0.250 0.076

- Total DFT energy (no corrections): -69.51 eV for the cell shown
- Formation energy from raw total energies: -3.037 eV per atom
- Spin magnetization: 0.323 μB/cell


NaBeRhF6 | PBE-GGA | relaxed

abc: 5.005 5.005 9.941
angles: 90.00 90.00 120.00
Fractional coordinates of all 18 atoms:
Rh 0.667 0.333 0.750
Rh 0.333 0.667 0.250
F 0.343 0.966 0.648
F 0.623 0.657 0.648
F 0.343 0.377 0.852
F 0.377 0.343 0.352
F 0.657 0.034 0.352
F 0.377 0.034 0.148
F 0.657 0.623 0.148
F 0.034 0.377 0.648
F 0.966 0.623 0.352
F 0.034 0.657 0.852
F 0.623 0.966 0.852
F 0.966 0.343 0.148
Be 0.333 0.667 0.750
Be 0.667 0.333 0.250
Na 0.000 0.000 0.500
Na 0.000 0.000 0.000

- Total DFT energy (no corrections): -88.80 eV for the cell shown
- Formation energy from raw total energies: -2.308 eV per atom
- Spin magnetization: 0.338 μB/cell


NaScBe2F8 | PBE-GGA | relaxed

abc: 4.917 4.917 7.199
angles: 90.93 90.93 67.00
Fractional coordinates of all 12 atoms:
F 0.734 0.734 0.416
F 0.762 0.762 0.060
F 0.294 0.775 0.205
F 0.706 0.225 0.795
F 0.775 0.294 0.205
F 0.225 0.706 0.795
F 0.266 0.266 0.584
F 0.238 0.238 0.940
Sc 0.000 0.000 0.000
Be 0.646 0.646 0.235
Be 0.354 0.354 0.765
Na 0.000 0.000 0.500

- Total DFT energy (no corrections): -70.86 eV for the cell shown
- Formation energy from raw total energies: -3.399 eV per atom
- Spin magnetization: 0.000 μB/cell


Na2BeSnF6 | PBE-GGA | relaxed

abc: 6.831 5.954 6.054
angles: 63.03 55.40 45.81
Fractional coordinates of all 10 atoms:
F 0.921 0.431 0.872
F 0.973 0.573 0.301
F 0.381 0.542 0.843
F 0.489 0.327 0.262
F 0.908 0.995 0.550
F 0.461 0.025 0.113
Be 0.318 0.372 0.137
Sn 0.629 0.868 0.700
Na 0.650 0.506 0.341
Na 0.932 0.023 0.898

- Total DFT energy (no corrections): -49.29 eV for the cell shown
- Formation energy from raw total energies: -2.769 eV per atom
- Spin magnetization: 0.000 μB/cell


NaSrBeF5 | PBE-GGA | relaxed

abc: 5.897 5.897 7.118
angles: 97.52 97.52 107.60
Fractional coordinates of all 16 atoms:
Be 0.707 0.293 0.250
Be 0.293 0.707 0.750
F 0.708 0.499 0.419
F 0.501 0.292 0.081
F 0.121 0.879 0.250
F 0.499 0.708 0.919
F 0.659 0.051 0.328
F 0.292 0.501 0.581
F 0.341 0.949 0.672
F 0.051 0.659 0.828
F 0.949 0.341 0.172
F 0.879 0.121 0.750
Na 0.000 0.000 0.000
Na 0.000 0.000 0.500
Sr 0.638 0.362 0.750
Sr 0.362 0.638 0.250

- Total DFT energy (no corrections): -86.15 eV for the cell shown
- Formation energy from raw total energies: -3.374 eV per atom
- Spin magnetization: 0.124 μB/cell


Na2SrBeF6 | PBE-GGA | relaxed

abc: 5.502 5.582 8.312
angles: 90.00 84.83 90.00
Fractional coordinates of all 20 atoms:
F 0.136 0.557 0.215
F 0.161 0.758 0.926
F 0.756 0.673 0.065
F 0.364 0.057 0.285
F 0.661 0.742 0.426
F 0.744 0.173 0.435
F 0.864 0.443 0.785
F 0.244 0.327 0.935
F 0.256 0.827 0.565
F 0.839 0.242 0.074
F 0.339 0.258 0.574
F 0.636 0.943 0.715
Sr 0.500 0.000 0.000
Sr 0.000 0.500 0.500
Na 0.966 0.945 0.242
Na 0.534 0.445 0.258
Na 0.034 0.055 0.758
Na 0.466 0.555 0.742
Be 0.500 0.000 0.500
Be 0.000 0.500 0.000

- Total DFT energy (no corrections): -100.51 eV for the cell shown
- Formation energy from raw total energies: -3.098 eV per atom
- Spin magnetization: 0.268 μB/cell


NaBe2Tl3F8 | PBE-GGA | relaxed

abc: 5.845 5.845 7.590
angles: 90.00 90.00 120.00
Fractional coordinates of all 14 atoms:
F 0.667 0.333 0.964
F 0.186 0.814 0.312
F 0.627 0.814 0.312
F 0.186 0.373 0.312
F 0.814 0.627 0.688
F 0.333 0.667 0.036
F 0.814 0.186 0.688
F 0.373 0.186 0.688
Be 0.667 0.333 0.761
Be 0.333 0.667 0.239
Tl 0.000 0.000 0.000
Tl 0.667 0.333 0.311
Tl 0.333 0.667 0.689
Na 0.000 0.000 0.500

- Total DFT energy (no corrections): -67.35 eV for the cell shown
- Formation energy from raw total energies: -2.608 eV per atom
- Spin magnetization: 0.000 μB/cell


NaBeTlF4 | PBE-GGA | relaxed

abc: 5.214 5.547 8.462
angles: 90.00 119.57 90.00
Fractional coordinates of all 14 atoms:
Be 0.861 0.250 0.681
Be 0.139 0.750 0.319
F 0.387 0.750 0.527
F 0.292 0.750 0.202
F 0.941 0.523 0.290
F 0.708 0.250 0.798
F 0.059 0.023 0.710
F 0.059 0.477 0.710
F 0.941 0.977 0.290
F 0.613 0.250 0.473
Tl 0.404 0.250 0.124
Tl 0.596 0.750 0.876
Na 0.221 0.250 0.524
Na 0.779 0.750 0.476

- Total DFT energy (no corrections): -68.08 eV for the cell shown
- Formation energy from raw total energies: -2.734 eV per atom
- Spin magnetization: 0.000 μB/cell


- What is the total DFT energy (no corrections) in the second record?
  -88.80 eV for the cell shown